[1]
! SrNbTe2 | the Alexandria database | PBE | relaxed; values from VASP
&SYSTEM
  ibrav = 0, nat = 4, ntyp = 3
/
ATOMIC_SPECIES
Sr 87.62 Sr.upf
Nb 92.91 Nb.upf
Te 127.60 Te.upf
CELL_PARAMETERS angstrom
-6.947 -5.993 2.294
-4.587 -8.171 -1.282
-2.895 -8.411 3.211
ATOMIC_POSITIONS angstrom
Sr -7.215 -11.288 2.112
Nb 0.000 0.000 0.000
Te -12.996 -20.333 3.804
Te -1.433 -2.242 0.419
! * spin magnetization: 3.0 Bohr magnetons per cell
! * crystal system: trigonal
! * excess energy over the best structure of this formula in the dataset: 2.300 eV per formula unit
! * energy relative to the elements, uncorrected: 0.0209 eV per atom
! * calculated density: 4.0 g cm⁻³
! * E: -17.951 eV/cell

***

[2]
! Nb3Pt2 | the Alexandria database | PBE | relaxed; values from VASP
&SYSTEM
  ibrav = 0, nat = 5, ntyp = 2
/
ATOMIC_SPECIES
Nb 92.91 Nb.upf
Pt 195.08 Pt.upf
CELL_PARAMETERS angstrom
-2.505 0.976 -0.954
-1.785 -3.446 1.161
0.775 4.171 6.504
ATOMIC_POSITIONS angstrom
Nb -0.534 1.144 2.574
Nb -2.982 0.558 4.137
Nb 0.000 0.000 0.000
Pt -1.100 2.358 5.305
Pt -2.415 -0.656 1.406
! * spin magnetization: 0.0 Bohr magnetons per cell
! * crystal system: orthorhombic
! * ΔE_f: -431.2 meV/atom
! * calculated density: 13.1 g cm⁻³
! * E: -44.447 eV/cell

***

[3]
! RbCrS2 | the Alexandria database | PBE | relaxed; values from VASP
&SYSTEM
  ibrav = 0, nat = 4, ntyp = 3
/
ATOMIC_SPECIES
Cr 52.00 Cr.upf
S 32.06 S.upf
Rb 85.47 Rb.upf
CELL_PARAMETERS angstrom
3.446 -1.990 0.000
0.000 3.979 0.000
0.000 0.000 7.644
ATOMIC_POSITIONS angstrom
Cr 1.149 1.990 3.281
S 1.149 1.990 5.394
S 2.297 0.000 2.532
Rb 0.000 0.000 7.559
! * spin magnetization: 3.0 Bohr magnetons per cell
! * crystal system: trigonal
! * energy relative to the elements, uncorrected: -0.5753 eV per atom
! * calculated density: 3.2 g cm⁻³
! * E: -21.147 eV/cell

***

[4]
! LiZnB3 | the Alexandria database | PBE | relaxed; values from VASP
&SYSTEM
  ibrav = 0, nat = 5, ntyp = 3
/
ATOMIC_SPECIES
Zn 65.41 Zn.upf
B 10.81 B.upf
Li 6.94 Li.upf
CELL_PARAMETERS angstrom
4.053 0.000 0.000
0.000 4.053 0.000
0.000 0.000 4.053
ATOMIC_POSITIONS angstrom
Zn 0.000 0.000 0.000
B 0.000 2.027 0.000
B 0.000 0.000 2.027
B 2.027 0.000 0.000
Li 2.027 2.027 2.027
! * spin magnetization: 0.0 Bohr magnetons per cell
! * crystal system: cubic
! * excess energy over the best structure of this formula in the dataset: 0.000 eV per formula unit
! * ΔE_f: 1687.2 meV/atom
! * calculated density: 2.6 g cm⁻³
! * E: -14.784 eV/cell